(1)
VASP calculation (PBE) on crystalline HoPaPb at its relaxed geometry.

Cell lengths 4.0947, 4.0947, 9.9520 Å; angles 90.00, 90.00, 90.00 degrees
Last column: nearest neighbours and their distance in Å.
Positions (direct):
Ho: 0.2500 0.2500 0.2400  5 Pb 3.23-3.35, 5 Pa 3.31-3.44
Ho: 0.7500 0.7500 0.7600  5 Pb 3.23-3.35, 5 Pa 3.31-3.44
Pa: 0.2500 0.2500 0.5728  4 Pa 3.24, 1 Pb 3.29, 5 Ho 3.31-3.44
Pa: 0.7500 0.7500 0.4272  4 Pa 3.24, 1 Pb 3.29, 5 Ho 3.31-3.44
Pb: 0.2500 0.2500 0.9038  5 Ho 3.23-3.35, 1 Pa 3.29, 4 Pb 3.47
Pb: 0.7500 0.7500 0.0962  5 Ho 3.23-3.35, 1 Pa 3.29, 4 Pb 3.47

Properties
**Crystal system**: tetragonal
**ΔE to the lowest computed polymorph**: 0 meV per atom
**SG**: P4/nmm
**Uncorrected energy**: -0.4305 Ry per atom
**Energy relative to the elements**: 0.07 eV per atom

---

(2)
VASP calculation (PBE) on crystalline HoPa2Pb9 at its relaxed geometry.

Cell lengths 4.8222, 4.8222, 14.5628 Å; angles 90.00, 90.00, 90.00 degrees
Last column: nearest neighbours and their distance in Å.
Positions (direct):
Ho: 0.0000 0.0000 0.0000  12 Pb 3.41-3.44
Pa: 0.0000 0.0000 0.3383  12 Pb 3.37-3.46
Pa: 0.0000 0.0000 0.6617  12 Pb 3.37-3.46
Pb: 0.0000 0.5000 0.1681  8 Pb 3.41-3.44, 2 Ho 3.44, 2 Pa 3.46
Pb: 0.0000 0.5000 0.5000  4 Pa 3.37, 8 Pb 3.41-3.42
Pb: 0.0000 0.5000 0.8319  8 Pb 3.41-3.44, 2 Ho 3.44, 2 Pa 3.46
Pb: 0.5000 0.0000 0.1681  8 Pb 3.41-3.44, 2 Ho 3.44, 2 Pa 3.46
Pb: 0.5000 0.0000 0.5000  4 Pa 3.37, 8 Pb 3.41-3.42
Pb: 0.5000 0.0000 0.8319  8 Pb 3.41-3.44, 2 Ho 3.44, 2 Pa 3.46
Pb: 0.5000 0.5000 0.0000  4 Ho 3.41, 8 Pb 3.44
Pb: 0.5000 0.5000 0.3339  4 Pa 3.41, 8 Pb 3.41-3.42
Pb: 0.5000 0.5000 0.6661  4 Pa 3.41, 8 Pb 3.41-3.42

Properties
**Crystal system**: tetragonal
**SG**: P4/mmm
**Uncorrected energy**: -0.3548 Ry per atom
**Energy relative to the elements**: -0.08 eV per atom

---

(3)
VASP calculation (PBE) on crystalline HoPaPb2 at its relaxed geometry.

Cell lengths 3.4668, 3.4668, 9.1096 Å; angles 90.00, 90.00, 90.00 degrees
Last column: nearest neighbours and their distance in Å.
Positions (direct):
Ho: 0.0000 0.0000 0.0000  8 Pb 3.32, 4 Ho 3.47
Pa: 0.0000 0.0000 0.5000  8 Pb 3.37, 4 Pa 3.47
Pb: 0.5000 0.5000 0.2464  4 Ho 3.32, 4 Pa 3.37, 4 Pb 3.47
Pb: 0.5000 0.5000 0.7536  4 Ho 3.32, 4 Pa 3.37, 4 Pb 3.47

Properties
**Crystal system**: tetragonal
**ΔE to the lowest computed polymorph**: 0 meV per atom
**SG**: P4/mmm
**Uncorrected energy**: -0.4042 Ry per atom
**Energy relative to the elements**: -0.13 eV per atom